PmPaTe2C | GGA-PBE | relaxed

Unit cell a=4.1618 b=4.1618 c=16.2696 alpha=90.00 beta=90.00 gamma=90.00
Last column: nearest neighbours and their distance in Å.
Atoms (fractional coordinates):
Te  0.0000  0.5000  0.6770  1 Pm 2.98
Te  0.0000  0.5000  0.0812  4 Pm 3.09
Te  0.5000  0.0000  0.3230  1 Pm 2.98
Te  0.5000  0.0000  0.9188  4 Pm 3.09
Pm  0.5000  0.0000  0.1395  5 Te 2.98-3.09
Pm  0.0000  0.5000  0.8605  5 Te 2.98-3.09
C  0.0000  0.0000  0.5000  4 Pa 2.35
C  0.5000  0.5000  0.5000  4 Pa 2.35
Pa  0.0000  0.5000  0.4335  4 C 2.35
Pa  0.5000  0.0000  0.5665  4 C 2.35

Summary:
- Energy relative to the elements, uncorrected: -0.938 eV per atom
- Space group: No. 129